MnAgO2: optimized geometry, PBE with a Hubbard U.

Summary:
DOS at the Fermi energy = 0.13 states/eV/atom
uncorrected energy = -5.881 eV/atom

Cell and atoms, written as CIF:
```
data_MnAgO2
_cell_length_a 5.867
_cell_length_b 5.867
_cell_length_c 5.867
_cell_angle_alpha 129.01
_cell_angle_beta 129.01
_cell_angle_gamma 75.00
_space_group_name_H-M_alt 'P 1'
_space_group_IT_number 1
_space_group_name_Hall 'P 1'
loop_
_atom_site_label
_atom_site_type_symbol
_atom_site_fract_x
_atom_site_fract_y
_atom_site_fract_z
Mn1 Mn 0.000 0.000 0.000
Mn2 Mn 0.750 0.250 0.500
Ag1 Ag 0.250 0.750 0.500
Ag2 Ag 0.500 0.500 0.000
O1 O 0.056 0.625 0.931
O2 O 0.375 0.306 0.431
O3 O 0.694 0.125 0.069
O4 O 0.875 0.944 0.569
```